Entry 1:
A plane-wave DFT calculation with PBEsol was carried out for crystalline MgCoRe2 at its relaxed geometry.

Results
- energy of formation (meV/atom) = 318
- SG = Pmm2, No. 25
- electronic total energy (eV/atom) = -8.7118

a = 2.7115 Å, b = 3.7604 Å, c = 5.5281 Å
α = 90.00°, β = 90.00°, γ = 90.00°
Fractional positions:
Mg 0.0000 0.0000 0.0000
Co 0.5000 0.5000 0.7633
Re 0.0000 0.0000 0.5163
Re 0.5000 0.5000 0.2901

***

Entry 2:
A plane-wave DFT calculation with PBEsol was carried out for crystalline MgCo3Re at its relaxed geometry.

Results
- energy of formation (meV/atom) = 1822
- SG = Pm-3m, No. 221
- electronic total energy (eV/atom) = -5.8302

a = 4.0843 Å, b = 4.0843 Å, c = 4.0843 Å
α = 90.00°, β = 90.00°, γ = 90.00°
Fractional positions:
Mg 0.0000 0.0000 0.0000
Co 0.0000 0.0000 0.5000
Co 0.0000 0.5000 0.0000
Co 0.5000 0.0000 0.0000
Re 0.5000 0.5000 0.5000

***

Entry 3:
A plane-wave DFT calculation with PBEsol was carried out for crystalline MgCoReRu2 at its relaxed geometry.

Results
- energy of formation (meV/atom) = 1990
- SG = P4/mmm, No. 123
- electronic total energy (eV/atom) = -6.6360

a = 4.2954 Å, b = 4.2954 Å, c = 4.0298 Å
α = 90.00°, β = 90.00°, γ = 90.00°
Fractional positions:
Mg 0.0000 0.0000 0.0000
Co 0.0000 0.0000 0.5000
Re 0.5000 0.5000 0.5000
Ru 0.0000 0.5000 0.0000
Ru 0.5000 0.0000 0.0000

***

Entry 4:
A plane-wave DFT calculation with PBEsol was carried out for crystalline MgCoRh at its relaxed geometry.

Results
- energy of formation (meV/atom) = 281
- SG = F-43m, No. 216
- electronic total energy (eV/atom) = -5.5835

a = 4.0261 Å, b = 4.0261 Å, c = 4.0261 Å
α = 60.00°, β = 60.00°, γ = 60.00°
Fractional positions:
Mg 0.0000 0.0000 0.0000
Co 0.7500 0.7500 0.7500
Rh 0.5000 0.5000 0.5000

***

Entry 5:
A plane-wave DFT calculation with PBEsol was carried out for crystalline SrMgCo2Rh at its relaxed geometry.

Results
- energy of formation (meV/atom) = 1820
- SG = P4/mmm, No. 123
- electronic total energy (eV/atom) = -3.6138

a = 4.6155 Å, b = 4.6155 Å, c = 4.8963 Å
α = 90.00°, β = 90.00°, γ = 90.00°
Fractional positions:
Sr 0.0000 0.0000 0.0000
Mg 0.5000 0.5000 0.5000
Co 0.0000 0.5000 0.0000
Co 0.5000 0.0000 0.0000
Rh 0.0000 0.0000 0.5000

***

Entry 6:
A plane-wave DFT calculation with PBEsol was carried out for crystalline Mg2CoRu at its relaxed geometry.

Results
- energy of formation (meV/atom) = 102
- SG = P4mm, No. 99
- electronic total energy (eV/atom) = -5.2335

a = 2.7768 Å, b = 2.7768 Å, c = 7.9491 Å
α = 90.00°, β = 90.00°, γ = 90.00°
Fractional positions:
Mg 0.0000 0.0000 0.0000
Mg 0.5000 0.5000 0.3377
Co 0.5000 0.5000 0.7694
Ru 0.0000 0.0000 0.5877